Compound: YAgSeF2
Source: Alexandria
Functional: PBE-GGA
Structure: relaxed

Cell: 4.356 4.356 5.225 Å, 90.00 90.00 90.00°
Fractional coordinates of all 5 atoms:
Y1 0.000 0.000 0.000
Ag1 0.500 0.500 0.500
Se1 0.500 0.500 0.000
F1 0.000 0.500 0.500
F2 0.500 0.000 0.500

Properties
Energy relative to the elements, uncorrected (eV per formula unit): -7.137
Space-group type: No. 123